<A>
The following is a DFT calculation (GGA-PBE) of a relaxed structure of RbGeSeN2.

For the size of the total moment, the calculation gives 5.00 μB/f.u.

The space group is P4/mmm (No. 123) and the conventional cell measures 4.9689, 4.9689 and 6.6038 Å, with angles of 90.00, 90.00 and 90.00 degrees. The asymmetric unit holds Rb at (0.0000, 0.0000, 0.0000), Ge at (0.5000, 0.5000, 0.5000), Se at (0.0000, 0.0000, 0.5000) and N at (0.0000, 0.5000, 0.0000).


<B>
The following is a DFT calculation (GGA-PBE) of a relaxed structure of RbGeSeN2.

For the size of the total moment, the calculation gives 3.26 μB/f.u.

The space group is P4/mmm (No. 123) and the conventional cell measures 4.3307, 4.3307 and 5.1760 Å, with angles of 90.00, 90.00 and 90.00 degrees. The asymmetric unit holds Rb at (0.0000, 0.0000, 0.0000), Ge at (0.5000, 0.5000, 0.5000), Se at (0.5000, 0.5000, 0.0000) and N at (0.0000, 0.5000, 0.5000).


Most stable = <B>


<A>
The following is a DFT calculation (GGA-PBE) of a relaxed structure of RbGeSe2N.

For the size of the total moment, the calculation gives 4.01 μB/f.u.

The space group is P4/mmm (No. 123) and the conventional cell measures 5.9838, 5.9838 and 5.0237 Å, with angles of 90.00, 90.00 and 90.00 degrees. The asymmetric unit holds Rb at (0.0000, 0.0000, 0.0000), Ge at (0.5000, 0.5000, 0.5000), Se at (0.0000, 0.5000, 0.0000) and N at (0.0000, 0.0000, 0.5000).


<B>
The following is a DFT calculation (GGA-PBE) of a relaxed structure of RbGeSe2N.

For the size of the total moment, the calculation gives 0.00 μB/f.u.

The space group is P4/mmm (No. 123) and the conventional cell measures 5.8874, 5.8874 and 3.4474 Å, with angles of 90.00, 90.00 and 90.00 degrees. The asymmetric unit holds Rb at (0.0000, 0.0000, 0.0000), Ge at (0.5000, 0.5000, 0.5000), Se at (0.0000, 0.5000, 0.5000) and N at (0.5000, 0.5000, 0.0000).


Most stable = <B>


<A>
The following is a DFT calculation (GGA-PBE) of a relaxed structure of RbGeTe2N.

For the size of the total moment, the calculation gives 2.62 μB/f.u.

The space group is P4/mmm (No. 123) and the conventional cell measures 6.2984, 6.2984 and 5.0319 Å, with angles of 90.00, 90.00 and 90.00 degrees. The asymmetric unit holds Rb at (0.0000, 0.0000, 0.0000), Ge at (0.5000, 0.5000, 0.5000), Te at (0.0000, 0.5000, 0.0000) and N at (0.0000, 0.0000, 0.5000).


<B>
The following is a DFT calculation (GGA-PBE) of a relaxed structure of RbGeTe2N.

For the size of the total moment, the calculation gives 0.00 μB/f.u.

The space group is P4/mmm (No. 123) and the conventional cell measures 6.2843, 6.2843 and 3.5062 Å, with angles of 90.00, 90.00 and 90.00 degrees. The asymmetric unit holds Rb at (0.0000, 0.0000, 0.0000), Ge at (0.5000, 0.5000, 0.5000), Te at (0.0000, 0.5000, 0.5000) and N at (0.5000, 0.5000, 0.0000).


Most stable = <B>


<A>
The following is a DFT calculation (GGA-PBE) of a relaxed structure of RbGeTeN2.

For the size of the total moment, the calculation gives 3.25 μB/f.u.

The space group is P4/mmm (No. 123) and the conventional cell measures 4.4893, 4.4893 and 5.5415 Å, with angles of 90.00, 90.00 and 90.00 degrees. The asymmetric unit holds Rb at (0.0000, 0.0000, 0.0000), Ge at (0.5000, 0.5000, 0.5000), Te at (0.5000, 0.5000, 0.0000) and N at (0.0000, 0.5000, 0.5000).


<B>
The following is a DFT calculation (GGA-PBE) of a relaxed structure of RbGeTeN2.

For the size of the total moment, the calculation gives 5.00 μB/f.u.

The space group is P4/mmm (No. 123) and the conventional cell measures 4.9946, 4.9946 and 7.2424 Å, with angles of 90.00, 90.00 and 90.00 degrees. The asymmetric unit holds Rb at (0.0000, 0.0000, 0.0000), Ge at (0.5000, 0.5000, 0.5000), Te at (0.0000, 0.0000, 0.5000) and N at (0.0000, 0.5000, 0.0000).


Most stable = <A>


<A>
The following is a DFT calculation (GGA-PBE) of a relaxed structure of Re2Ge2N.

For the size of the total moment, the calculation gives 1.99 μB/f.u.

The space group is I4/mmm (No. 139) and the conventional cell measures 3.6622, 3.6622 and 12.4473 Å, with angles of 90.00, 90.00 and 90.00 degrees. The asymmetric unit holds Re at (0.0000, 0.5000, 0.2500), Ge at (0.0000, 0.0000, 0.0972) and N at (0.0000, 0.0000, 0.5000).


<B>
The following is a DFT calculation (GGA-PBE) of a relaxed structure of Re2Ge2N.

For the size of the total moment, the calculation gives 0.00 μB/f.u.

The space group is P4/mbm (No. 127) and the conventional cell measures 6.7373, 6.7373 and 3.2259 Å, with angles of 90.00, 90.00 and 90.00 degrees. The asymmetric unit holds Re at (0.1500, 0.3500, 0.0000), Ge at (0.1506, 0.6506, 0.5000) and N at (0.0000, 0.0000, 0.5000).


Most stable = <B>


<A>
The following is a DFT calculation (GGA-PBE) of a relaxed structure of Re2GeN.

For the size of the total moment, the calculation gives 0.00 μB/f.u.

The space group is Fm-3m (No. 225) and the conventional cell measures 5.8864, 5.8864 and 5.8864 Å, with angles of 90.00, 90.00 and 90.00 degrees. The asymmetric unit holds Re at (0.2500, 0.2500, 0.2500), Ge at (0.0000, 0.0000, 0.0000) and N at (0.0000, 0.0000, 0.5000).


<B>
The following is a DFT calculation (GGA-PBE) of a relaxed structure of Re2GeN.

For the size of the total moment, the calculation gives 0.00 μB/f.u.

The space group is I-42d (No. 122) and the conventional cell measures 4.5761, 4.5761 and 12.2622 Å, with angles of 90.00, 90.00 and 90.00 degrees. The asymmetric unit holds Re at (0.1420, 0.2500, 0.1250), Ge at (0.0000, 0.0000, 0.5000) and N at (0.0000, 0.0000, 0.0000).


Most stable = <B>